# 1
Here is a relaxed structure of Cs2NbHgCl6 from Alexandria. Energies are from GGA-PBE.

The energy relative to the elements, uncorrected comes out at -1449 meV/atom.

abc: 7.3890 7.3890 56.8911
angles: 90.00 90.00 120.00
With the nearest neighbours (Å) after each atom.
Space group R-3m (No. 166, hexagonal axes)
Symmetry-distinct sites (fractional):
Cs: 0.0000 0.0000 0.1412 x6  9 Cl 3.65-3.70
Cs: 0.0000 0.0000 0.3078 x6  9 Cl 3.65-3.70
Nb: 0.0000 0.0000 0.0000 x3  6 Cl 2.44
Nb: 0.0000 0.0000 0.5000 x3  6 Cl 2.45
Hg: 0.0000 0.0000 0.4155 x6  6 Cl 3.93-3.98
Cl: 0.0216 0.5108 0.1418 x18  1 Nb 2.45
Cl: 0.0217 0.5109 0.6915 x18  1 Nb 2.44


# 2
Here is a relaxed structure of Sc2Be from Alexandria. Energies are from GGA-PBE.

The calculation puts the calculated formation energy at 0.015 eV/atom.

abc: 12.1803 12.1803 12.1803
angles: 90.00 90.00 90.00
With the nearest neighbours (Å) after each atom.
Space group Fd-3m (No. 227, origin choice 2)
Symmetry-distinct sites (fractional):
Sc: 0.0000 0.0000 0.0000 x16  6 Be 2.64
Sc: 0.0622 0.3750 0.8750 x48  4 Be 2.87-3.14, 2 Sc 3.14
Be: 0.0408 0.0408 0.2092 x32  6 Sc 2.64-2.87, 3 Be 2.90


Which total magnetization belongs to each record? In order, 6.00 0.00 μB per cell.